Run w
UVPd | PBE | relaxed

Geometry as CIF:
```
data_UVPd
_chemical_formula_sum 'U2 V2 Pd2'
_cell_length_a 3.300
_cell_length_b 3.300
_cell_length_c 9.114
_cell_angle_alpha 90.00
_cell_angle_beta 90.00
_cell_angle_gamma 90.00
_symmetry_space_group_name_H-M 'P 1'
_symmetry_Int_Tables_number 1
loop_
_symmetry_equiv_pos_as_xyz
'x,y,z'
loop_
_atom_site_label
_atom_site_fract_x
_atom_site_fract_y
_atom_site_fract_z
U1 0.250 0.250 0.082
U2 0.750 0.750 0.918
V1 0.250 0.250 0.730
V2 0.750 0.750 0.270
Pd1 0.250 0.250 0.412
Pd2 0.750 0.750 0.588
```

SG ... No. 129

---

Run x
UVPd | PBE | relaxed

Geometry as CIF:
```
data_UVPd
_chemical_formula_sum 'U1 V1 Pd1'
_cell_length_a 6.584
_cell_length_b 6.584
_cell_length_c 6.584
_cell_angle_alpha 154.87
_cell_angle_beta 154.87
_cell_angle_gamma 35.84
_symmetry_space_group_name_H-M 'P 1'
_symmetry_Int_Tables_number 1
loop_
_symmetry_equiv_pos_as_xyz
'x,y,z'
loop_
_atom_site_label
_atom_site_fract_x
_atom_site_fract_y
_atom_site_fract_z
U1 0.000 0.000 0.000
V1 0.330 0.330 0.000
Pd1 0.694 0.694 0.000
```

SG ... No. 107

---

It is run x that is the most stable of them.

---

Run w
UZnPd6 | PBE | relaxed

Geometry as CIF:
```
data_UZnPd6
_chemical_formula_sum 'U1 Zn1 Pd6'
_cell_length_a 5.144
_cell_length_b 5.163
_cell_length_c 5.175
_cell_angle_alpha 94.43
_cell_angle_beta 94.28
_cell_angle_gamma 94.47
_symmetry_space_group_name_H-M 'P 1'
_symmetry_Int_Tables_number 1
loop_
_symmetry_equiv_pos_as_xyz
'x,y,z'
loop_
_atom_site_label
_atom_site_fract_x
_atom_site_fract_y
_atom_site_fract_z
U1 0.000 0.000 0.000
Zn1 0.500 0.500 0.500
Pd1 0.057 0.747 0.445
Pd2 0.254 0.556 0.940
Pd3 0.445 0.058 0.746
Pd4 0.555 0.942 0.254
Pd5 0.746 0.444 0.060
Pd6 0.943 0.253 0.555
```

SG ... No. 2

---

Run x
UZnPd6 | PBE | relaxed

Geometry as CIF:
```
data_UZnPd6
_chemical_formula_sum 'U1 Zn1 Pd6'
_cell_length_a 4.069
_cell_length_b 4.069
_cell_length_c 7.875
_cell_angle_alpha 90.00
_cell_angle_beta 90.00
_cell_angle_gamma 90.00
_symmetry_space_group_name_H-M 'P 1'
_symmetry_Int_Tables_number 1
loop_
_symmetry_equiv_pos_as_xyz
'x,y,z'
loop_
_atom_site_label
_atom_site_fract_x
_atom_site_fract_y
_atom_site_fract_z
U1 0.000 0.000 0.000
Zn1 0.000 0.000 0.500
Pd1 0.000 0.500 0.254
Pd2 0.000 0.500 0.746
Pd3 0.500 0.000 0.254
Pd4 0.500 0.000 0.746
Pd5 0.500 0.500 0.000
Pd6 0.500 0.500 0.500
```

SG ... No. 123

---

It is run x that is the most stable of them.

---

Run w
VPdW | PBE | relaxed

Geometry as CIF:
```
data_VPdW
_chemical_formula_sum 'V4 Pd4 W4'
_cell_length_a 4.817
_cell_length_b 5.287
_cell_length_c 8.475
_cell_angle_alpha 90.00
_cell_angle_beta 120.78
_cell_angle_gamma 90.00
_symmetry_space_group_name_H-M 'P 1'
_symmetry_Int_Tables_number 1
loop_
_symmetry_equiv_pos_as_xyz
'x,y,z'
loop_
_atom_site_label
_atom_site_fract_x
_atom_site_fract_y
_atom_site_fract_z
V1 0.049 0.018 0.245
V2 0.049 0.482 0.745
V3 0.951 0.518 0.255
V4 0.951 0.982 0.755
Pd1 0.397 0.183 0.074
Pd2 0.397 0.317 0.574
Pd3 0.603 0.683 0.426
Pd4 0.603 0.817 0.926
W1 0.231 0.678 0.060
W2 0.231 0.822 0.560
W3 0.769 0.178 0.440
W4 0.769 0.322 0.940
```

SG ... No. 14

---

Run x
VPdW | PBE | relaxed

Geometry as CIF:
```
data_VPdW
_chemical_formula_sum 'V1 Pd1 W1'
_cell_length_a 5.082
_cell_length_b 5.082
_cell_length_c 5.082
_cell_angle_alpha 143.65
_cell_angle_beta 143.65
_cell_angle_gamma 52.35
_symmetry_space_group_name_H-M 'P 1'
_symmetry_Int_Tables_number 1
loop_
_symmetry_equiv_pos_as_xyz
'x,y,z'
loop_
_atom_site_label
_atom_site_fract_x
_atom_site_fract_y
_atom_site_fract_z
V1 0.000 0.000 0.000
Pd1 0.674 0.674 0.000
W1 0.359 0.359 0.000
```

SG ... No. 107

---

Run y
VPdW | PBE | relaxed

Geometry as CIF:
```
data_VPdW
_chemical_formula_sum 'V2 Pd2 W2'
_cell_length_a 6.494
_cell_length_b 6.494
_cell_length_c 6.494
_cell_angle_alpha 38.95
_cell_angle_beta 38.95
_cell_angle_gamma 38.95
_symmetry_space_group_name_H-M 'P 1'
_symmetry_Int_Tables_number 1
loop_
_symmetry_equiv_pos_as_xyz
'x,y,z'
loop_
_atom_site_label
_atom_site_fract_x
_atom_site_fract_y
_atom_site_fract_z
V1 0.066 0.066 0.066
V2 0.934 0.934 0.934
Pd1 0.209 0.209 0.209
Pd2 0.791 0.791 0.791
W1 0.360 0.360 0.360
W2 0.640 0.640 0.640
```

SG ... No. 166

---

It is run x that is the most stable of them.

---

Run w
YV2Pd2 | PBE | relaxed

Geometry as CIF:
```
data_YV2Pd2
_chemical_formula_sum 'Y1 V2 Pd2'
_cell_length_a 7.304
_cell_length_b 7.304
_cell_length_c 7.304
_cell_angle_alpha 151.43
_cell_angle_beta 151.43
_cell_angle_gamma 40.85
_symmetry_space_group_name_H-M 'P 1'
_symmetry_Int_Tables_number 1
loop_
_symmetry_equiv_pos_as_xyz
'x,y,z'
loop_
_atom_site_label
_atom_site_fract_x
_atom_site_fract_y
_atom_site_fract_z
Y1 0.000 0.000 0.000
V1 0.250 0.750 0.500
V2 0.750 0.250 0.500
Pd1 0.396 0.396 0.000
Pd2 0.604 0.604 0.000
```

SG ... No. 139

---

Run x
YV2Pd2 | PBE | relaxed

Geometry as CIF:
```
data_YV2Pd2
_chemical_formula_sum 'Y2 V4 Pd4'
_cell_length_a 7.741
_cell_length_b 7.741
_cell_length_c 2.855
_cell_angle_alpha 90.00
_cell_angle_beta 90.00
_cell_angle_gamma 90.00
_symmetry_space_group_name_H-M 'P 1'
_symmetry_Int_Tables_number 1
loop_
_symmetry_equiv_pos_as_xyz
'x,y,z'
loop_
_atom_site_label
_atom_site_fract_x
_atom_site_fract_y
_atom_site_fract_z
Y1 0.000 0.000 0.000
Y2 0.500 0.500 0.000
V1 0.102 0.398 0.000
V2 0.398 0.898 0.000
V3 0.602 0.102 0.000
V4 0.898 0.602 0.000
Pd1 0.188 0.688 0.500
Pd2 0.312 0.188 0.500
Pd3 0.688 0.812 0.500
Pd4 0.812 0.312 0.500
```

SG ... No. 127

---

It is run w that is the most stable of them.